Density functional theory data (PBE) for crystalline Ca3Au4 at its relaxed geometry.

Calculated values
Energy of formation   -0.271 eV/atom
Distance to the lowest polymorph of the same formula   505.8 meV/atom
Symmetry   P6/mmm (191)
Calculated density   7.82 g/cm3
Raw total energy   -3.001 eV/atom

The structure in extended XYZ format:
```
7
Lattice="3.328 -5.765 0.000 3.328 5.765 0.000 0.000 0.000 5.026" Properties=species:S:1:pos:R:3 pbc="T T T"
Ca 1.664 2.882 0.000
Ca 3.328 0.000 0.000
Ca 1.664 -2.882 0.000
Au 0.000 0.000 1.258
Au 0.000 0.000 3.769
Au 3.328 -1.922 2.513
Au 3.328 1.922 2.513
```